No. 1
VASP calculation (PBE-GGA) on LiMgMo2 after structural relaxation.

Output
Symmetry = C2/m, No. 12
Fermi-level density of states = 2.18 states/eV per cell
Total DFT energy (no corrections) = -5.9735 eV/atom
Formation energy = 0.319 eV/atom

Geometry as extended XYZ:
```
4
Lattice="5.181 -1.653 0.000 5.181 1.653 0.000 -1.575 0.000 3.722" Properties=species:S:1:pos:R:3 pbc="T T T"
Li 0.000 0.000 0.000
Mg 4.394 0.000 1.861
Mo 1.481 0.000 2.814
Mo 7.307 0.000 0.908
```



No. 2
VASP calculation (PBE-GGA) on LiMg2Mo after structural relaxation.

Output
Symmetry = Pmmm, No. 47
Fermi-level density of states = 2.93 states/eV per cell
Total DFT energy (no corrections) = -3.4951 eV/atom
E above lowest polymorph = 0.320 eV/atom
Formation energy = 0.488 eV/atom

Geometry as extended XYZ:
```
4
Lattice="2.828 0.000 0.000 0.000 4.940 0.000 0.000 0.000 5.079" Properties=species:S:1:pos:R:3 pbc="T T T"
Li 0.000 0.000 0.000
Mg 0.000 2.470 2.539
Mg 1.414 2.470 0.000
Mo 1.414 0.000 2.539
```



No. 3
VASP calculation (PBE-GGA) on LiMgMo2 after structural relaxation.

Output
Symmetry = I-42d, No. 122
Fermi-level density of states = 5.89 states/eV per cell
Total DFT energy (no corrections) = -5.6596 eV/atom
Formation energy = 0.633 eV/atom

Geometry as extended XYZ:
```
8
Lattice="-1.829 1.829 10.192 1.829 -1.829 10.192 1.829 1.829 -10.192" Properties=species:S:1:pos:R:3 pbc="T T T"
Li 0.000 0.000 0.000
Li 0.000 1.829 5.096
Mg 1.829 0.000 5.096
Mg 0.000 0.000 10.192
Mo 2.743 0.908 -2.548
Mo 0.908 0.914 2.548
Mo -0.914 0.921 7.644
Mo 0.921 0.914 12.740
```



No. 4
VASP calculation (PBE-GGA) on Li2MgMo after structural relaxation.

Output
Symmetry = F-43m, No. 216
Fermi-level density of states = 3.15 states/eV per cell
Total DFT energy (no corrections) = -3.4237 eV/atom
Formation energy = 0.640 eV/atom

Geometry as extended XYZ:
```
4
Lattice="0.000 3.294 3.294 3.294 0.000 3.294 3.294 3.294 0.000" Properties=species:S:1:pos:R:3 pbc="T T T"
Li 0.000 0.000 0.000
Li 1.647 1.647 1.647
Mg 3.294 3.294 3.294
Mo 4.941 4.941 4.941
```



No. 5
VASP calculation (PBE-GGA) on Li2MgMo after structural relaxation.

Output
Symmetry = P4/mmm, No. 123
Fermi-level density of states = 2.22 states/eV per cell
Total DFT energy (no corrections) = -3.5590 eV/atom
Formation energy = 0.504 eV/atom

Geometry as extended XYZ:
```
4
Lattice="4.875 0.000 0.000 0.000 4.875 0.000 0.000 0.000 2.669" Properties=species:S:1:pos:R:3 pbc="T T T"
Li 0.000 2.437 0.000
Li 2.437 0.000 0.000
Mg 0.000 0.000 1.335
Mo 2.437 2.437 1.335
```



No. 6
VASP calculation (PBE-GGA) on LiMgMo2 after structural relaxation.

Output
Symmetry = P4/mmm, No. 123
Fermi-level density of states = 3.41 states/eV per cell
Total DFT energy (no corrections) = -5.6985 eV/atom
Formation energy = 0.594 eV/atom

Geometry as extended XYZ:
```
4
Lattice="3.443 0.000 0.000 0.000 3.443 0.000 0.000 0.000 5.444" Properties=species:S:1:pos:R:3 pbc="T T T"
Li 0.000 0.000 0.000
Mg 0.000 0.000 2.722
Mo 1.722 1.722 1.107
Mo 1.722 1.722 4.337
```



No. 7
VASP calculation (PBE-GGA) on LiMg3Mo after structural relaxation.

Output
Symmetry = Pm-3m, No. 221
Fermi-level density of states = 5.77 states/eV per cell
Total DFT energy (no corrections) = -2.5908 eV/atom
E above lowest polymorph = 0.046 eV/atom
Formation energy = 0.915 eV/atom

Geometry as extended XYZ:
```
5
Lattice="5.293 0.000 0.000 0.000 5.293 0.000 0.000 0.000 5.293" Properties=species:S:1:pos:R:3 pbc="T T T"
Li 0.000 0.000 0.000
Mg 0.000 2.647 2.647
Mg 2.647 0.000 2.647
Mg 2.647 2.647 0.000
Mo 2.647 2.647 2.647
```



No. 8
VASP calculation (PBE-GGA) on LiMg14Mo after structural relaxation.

Output
Symmetry = Amm2, No. 38
Fermi-level density of states = 6.75 states/eV per cell
Total DFT energy (no corrections) = -2.0932 eV/atom
E above lowest polymorph = 0.013 eV/atom
Formation energy = 0.099 eV/atom

Geometry as extended XYZ:
```
16
Lattice="10.031 0.000 0.000 0.000 3.205 5.354 0.000 -3.205 5.354" Properties=species:S:1:pos:R:3 pbc="T T T"
Li 0.000 0.000 0.000
Mg 0.000 -1.594 2.712
Mg 0.000 1.594 2.712
Mg 2.335 -1.564 6.126
Mg 2.335 1.564 6.126
Mg 2.406 0.000 3.559
Mg 2.490 0.000 8.841
Mg 5.016 -1.616 7.988
Mg 5.016 0.000 5.337
Mg 5.016 1.616 7.988
Mg 5.016 0.000 10.684
Mg 7.541 0.000 8.841
Mg 7.625 0.000 3.559
Mg 7.696 -1.564 6.126
Mg 7.696 1.564 6.126
Mo 0.000 0.000 5.369
```



No. 9
VASP calculation (PBE-GGA) on LiMg2Mo after structural relaxation.

Output
Symmetry = Cmmm, No. 65
Fermi-level density of states = 2.15 states/eV per cell
Total DFT energy (no corrections) = -3.8153 eV/atom
E above lowest polymorph = 0.000 eV/atom
Formation energy = 0.168 eV/atom

Geometry as extended XYZ:
```
4
Lattice="1.813 -2.123 0.000 1.813 2.123 0.000 0.000 0.000 9.511" Properties=species:S:1:pos:R:3 pbc="T T T"
Li 0.000 0.000 0.000
Mg 1.813 0.000 2.499
Mg 1.813 0.000 7.012
Mo 0.000 0.000 4.756
```



No. 10
VASP calculation (PBE-GGA) on LiMgMo2 after structural relaxation.

Output
Symmetry = R-3m, No. 166
Fermi-level density of states = 5.27 states/eV per cell
Total DFT energy (no corrections) = -5.7938 eV/atom
Formation energy = 0.499 eV/atom

Geometry as extended XYZ:
```
4
Lattice="1.386 0.800 9.938 -1.386 0.800 9.938 0.000 -1.601 9.938" Properties=species:S:1:pos:R:3 pbc="T T T"
Li 0.000 0.000 0.000
Mg 0.000 0.000 14.907
Mo 0.000 0.000 7.447
Mo 0.000 0.000 22.368
```



No. 11
VASP calculation (PBE-GGA) on LiMgMo3 after structural relaxation.

Output
Symmetry = Pm-3m, No. 221
Fermi-level density of states = 7.50 states/eV per cell
Total DFT energy (no corrections) = -4.9905 eV/atom
E above lowest polymorph = 0.936 eV/atom
Formation energy = 2.210 eV/atom

Geometry as extended XYZ:
```
5
Lattice="4.645 0.000 0.000 0.000 4.645 0.000 0.000 0.000 4.645" Properties=species:S:1:pos:R:3 pbc="T T T"
Li 0.000 0.000 0.000
Mg 2.322 2.322 2.322
Mo 0.000 2.322 2.322
Mo 2.322 0.000 2.322
Mo 2.322 2.322 0.000
```



No. 12
VASP calculation (PBE-GGA) on LiMgMo2 after structural relaxation.

Output
Symmetry = Pmmm, No. 47
Fermi-level density of states = 3.62 states/eV per cell
Total DFT energy (no corrections) = -5.9200 eV/atom
Formation energy = 0.373 eV/atom

Geometry as extended XYZ:
```
4
Lattice="2.646 0.000 0.000 0.000 4.693 0.000 0.000 0.000 5.197" Properties=species:S:1:pos:R:3 pbc="T T T"
Li 0.000 0.000 0.000
Mg 0.000 0.000 2.598
Mo 1.323 2.346 1.286
Mo 1.323 2.346 3.911
```



No. 13
VASP calculation (PBE-GGA) on Li2MgMo after structural relaxation.

Output
Symmetry = R-3m, No. 166
Fermi-level density of states = 2.97 states/eV per cell
Total DFT energy (no corrections) = -3.7692 eV/atom
Formation energy = 0.294 eV/atom

Geometry as extended XYZ:
```
4
Lattice="1.401 0.809 10.141 -1.401 0.809 10.141 0.000 -1.618 10.141" Properties=species:S:1:pos:R:3 pbc="T T T"
Li 0.000 0.000 7.502
Li 0.000 0.000 22.922
Mg 0.000 0.000 0.000
Mo 0.000 0.000 15.212
```



No. 14
VASP calculation (PBE-GGA) on LiMg14Mo after structural relaxation.

Output
Symmetry = P-6m2, No. 187
Fermi-level density of states = 7.66 states/eV per cell
Total DFT energy (no corrections) = -2.1064 eV/atom
E above lowest polymorph = 0.000 eV/atom
Formation energy = 0.085 eV/atom

Geometry as extended XYZ:
```
16
Lattice="6.284 0.000 0.000 -3.142 5.442 0.000 0.000 0.000 10.046" Properties=species:S:1:pos:R:3 pbc="T T T"
Li 0.000 0.000 0.000
Mg 4.711 2.720 5.023
Mg -1.557 2.729 0.000
Mg 0.000 1.744 2.595
Mg 0.000 1.744 7.451
Mg -1.631 4.570 2.595
Mg -1.631 4.570 7.451
Mg 1.557 2.729 0.000
Mg 0.000 5.425 0.000
Mg 3.142 0.002 5.023
Mg 1.573 2.720 5.023
Mg 3.142 1.814 2.488
Mg 3.142 1.814 7.558
Mg 1.631 4.570 2.595
Mg 1.631 4.570 7.451
Mo 0.000 0.000 5.023
```



No. 15
VASP calculation (PBE-GGA) on LiMgMo2 after structural relaxation.

Output
Symmetry = C2/m, No. 12
Fermi-level density of states = 2.30 states/eV per cell
Total DFT energy (no corrections) = -5.9408 eV/atom
Formation energy = 0.352 eV/atom

Geometry as extended XYZ:
```
4
Lattice="2.600 -4.802 0.000 2.600 4.802 0.000 -0.604 0.000 2.580" Properties=species:S:1:pos:R:3 pbc="T T T"
Li 0.000 0.000 0.000
Mg 2.600 0.000 0.000
Mo 0.998 2.401 1.290
Mo 0.998 -2.401 1.290
```



No. 16
VASP calculation (PBE-GGA) on LiMgMo4 after structural relaxation.

Output
Symmetry = F-43m, No. 216
Fermi-level density of states = 6.71 states/eV per cell
Total DFT energy (no corrections) = -7.3109 eV/atom
Formation energy = 0.495 eV/atom

Geometry as extended XYZ:
```
6
Lattice="0.000 3.746 3.746 3.746 0.000 3.746 3.746 3.746 0.000" Properties=species:S:1:pos:R:3 pbc="T T T"
Li 0.000 0.000 0.000
Mg 5.619 5.619 5.619
Mo 2.804 2.804 2.804
Mo 4.688 4.688 2.804
Mo 4.688 2.804 4.688
Mo 2.804 4.688 4.688
```



No. 17
VASP calculation (PBE-GGA) on LiMg3Mo after structural relaxation.

Output
Symmetry = Pm-3m, No. 221
Fermi-level density of states = 2.84 states/eV per cell
Total DFT energy (no corrections) = -2.6370 eV/atom
E above lowest polymorph = 0.000 eV/atom
Formation energy = 0.869 eV/atom

Geometry as extended XYZ:
```
5
Lattice="4.575 0.000 0.000 0.000 4.575 0.000 0.000 0.000 4.575" Properties=species:S:1:pos:R:3 pbc="T T T"
Li 0.000 0.000 0.000
Mg 0.000 0.000 2.288
Mg 0.000 2.288 0.000
Mg 2.288 0.000 0.000
Mo 2.288 2.288 2.288
```



No. 18
VASP calculation (PBE-GGA) on LiMg2Mo after structural relaxation.

Output
Symmetry = Cmmm, No. 65
Fermi-level density of states = 2.11 states/eV per cell
Total DFT energy (no corrections) = -3.7110 eV/atom
E above lowest polymorph = 0.104 eV/atom
Formation energy = 0.273 eV/atom

Geometry as extended XYZ:
```
4
Lattice="3.052 -4.277 0.000 3.052 4.277 0.000 0.000 0.000 2.732" Properties=species:S:1:pos:R:3 pbc="T T T"
Li 0.000 0.000 0.000
Mg 1.526 2.139 1.366
Mg 1.526 -2.139 1.366
Mo 3.052 0.000 0.000
```



No. 19
VASP calculation (PBE-GGA) on LiMgMo2 after structural relaxation.

Output
Symmetry = Cmm2, No. 35
Fermi-level density of states = 3.01 states/eV per cell
Total DFT energy (no corrections) = -6.0810 eV/atom
Formation energy = 0.212 eV/atom

Geometry as extended XYZ:
```
4
Lattice="1.595 -2.270 0.000 1.595 2.270 0.000 0.000 0.000 9.418" Properties=species:S:1:pos:R:3 pbc="T T T"
Li 0.000 0.000 0.000
Mg 1.595 0.000 2.564
Mo 0.000 0.000 4.981
Mo 1.595 0.000 7.084
```



No. 20
VASP calculation (PBE-GGA) on LiMgMo2 after structural relaxation.

Output
Symmetry = P4mm, No. 99
Fermi-level density of states = 4.40 states/eV per cell
Total DFT energy (no corrections) = -6.0019 eV/atom
Formation energy = 0.291 eV/atom

Geometry as extended XYZ:
```
4
Lattice="3.245 0.000 0.000 0.000 3.245 0.000 0.000 0.000 6.500" Properties=species:S:1:pos:R:3 pbc="T T T"
Li 0.000 0.000 0.000
Mg 1.623 1.623 1.707
Mo 0.000 0.000 3.594
Mo 1.623 1.623 4.801
```



No. 21
VASP calculation (PBE-GGA) on LiMg2Mo after structural relaxation.

Output
Symmetry = Cmm2, No. 35
Fermi-level density of states = 2.75 states/eV per cell
Total DFT energy (no corrections) = -3.7231 eV/atom
E above lowest polymorph = 0.092 eV/atom
Formation energy = 0.260 eV/atom

Geometry as extended XYZ:
```
4
Lattice="1.724 -2.168 0.000 1.724 2.168 0.000 0.000 0.000 9.660" Properties=species:S:1:pos:R:3 pbc="T T T"
Li 0.000 0.000 0.000
Mg 0.000 0.000 5.116
Mg 1.724 0.000 2.472
Mo 1.724 0.000 7.390
```



No. 22
VASP calculation (PBE-GGA) on LiMgMo2 after structural relaxation.

Output
Symmetry = P4mm, No. 99
Fermi-level density of states = 2.25 states/eV per cell
Total DFT energy (no corrections) = -5.9539 eV/atom
Formation energy = 0.339 eV/atom

Geometry as extended XYZ:
```
4
Lattice="2.659 0.000 0.000 0.000 2.659 0.000 0.000 0.000 9.432" Properties=species:S:1:pos:R:3 pbc="T T T"
Li 0.000 0.000 0.000
Mg 1.330 1.330 2.474
Mo 0.000 0.000 4.813
Mo 1.330 1.330 7.157
```



No. 23
VASP calculation (PBE-GGA) on Li2MgMo after structural relaxation.

Output
Symmetry = Pmm2, No. 25
Fermi-level density of states = 2.54 states/eV per cell
Total DFT energy (no corrections) = -3.6823 eV/atom
Formation energy = 0.381 eV/atom

Geometry as extended XYZ:
```
4
Lattice="2.579 0.000 0.000 0.000 4.598 0.000 0.000 0.000 5.798" Properties=species:S:1:pos:R:3 pbc="T T T"
Li 0.000 0.000 0.000
Li 1.289 2.299 1.473
Mg 0.000 0.000 3.108
Mo 1.289 2.299 4.382
```



No. 24
VASP calculation (PBE-GGA) on LiMgMo2 after structural relaxation.

Output
Symmetry = P2/m, No. 10
Fermi-level density of states = 1.72 states/eV per cell
Total DFT energy (no corrections) = -5.9544 eV/atom
Formation energy = 0.338 eV/atom

Geometry as extended XYZ:
```
4
Lattice="2.647 0.000 0.000 0.000 4.806 0.000 -1.281 0.000 5.058" Properties=species:S:1:pos:R:3 pbc="T T T"
Li 0.000 0.000 0.000
Mg -0.641 0.000 2.529
Mo 0.921 2.403 1.265
Mo 0.445 2.403 3.793
```



No. 25
VASP calculation (PBE-GGA) on Li2MgMo after structural relaxation.

Output
Symmetry = I-4m2, No. 119
Fermi-level density of states = 2.65 states/eV per cell
Total DFT energy (no corrections) = -3.4311 eV/atom
Formation energy = 0.632 eV/atom

Geometry as extended XYZ:
```
4
Lattice="-2.048 2.048 4.137 2.048 -2.048 4.137 2.048 2.048 -4.137" Properties=species:S:1:pos:R:3 pbc="T T T"
Li 0.000 0.000 0.000
Li 0.000 2.048 2.069
Mg 2.048 0.000 2.069
Mo 0.000 0.000 4.137
```



No. 26
VASP calculation (PBE-GGA) on LiMg2Mo after structural relaxation.

Output
Symmetry = Cm, No. 8
Fermi-level density of states = 3.07 states/eV per cell
Total DFT energy (no corrections) = -3.6763 eV/atom
E above lowest polymorph = 0.139 eV/atom
Formation energy = 0.307 eV/atom

Geometry as extended XYZ:
```
4
Lattice="5.443 -1.364 0.000 5.443 1.364 0.000 -2.099 0.000 4.848" Properties=species:S:1:pos:R:3 pbc="T T T"
Li 0.000 0.000 0.000
Mg 0.713 0.000 4.566
Mg 4.357 0.000 2.390
Mo 7.241 0.000 2.159
```



No. 27
VASP calculation (PBE-GGA) on LiMg2Mo after structural relaxation.

Output
Symmetry = R-3m, No. 166
Fermi-level density of states = 4.38 states/eV per cell
Total DFT energy (no corrections) = -3.7381 eV/atom
E above lowest polymorph = 0.077 eV/atom
Formation energy = 0.245 eV/atom

Geometry as extended XYZ:
```
4
Lattice="1.461 0.844 9.978 -1.461 0.844 9.978 0.000 -1.687 9.978" Properties=species:S:1:pos:R:3 pbc="T T T"
Li 0.000 0.000 0.000
Mg 0.000 0.000 7.414
Mg 0.000 0.000 22.521
Mo 0.000 0.000 14.967
```



No. 28
VASP calculation (PBE-GGA) on Li2MgMo after structural relaxation.

Output
Symmetry = P4mm, No. 99
Fermi-level density of states = 2.88 states/eV per cell
Total DFT energy (no corrections) = -3.8022 eV/atom
Formation energy = 0.261 eV/atom

Geometry as extended XYZ:
```
4
Lattice="2.784 0.000 0.000 0.000 2.784 0.000 0.000 0.000 8.754" Properties=species:S:1:pos:R:3 pbc="T T T"
Li 0.000 0.000 0.000
Li 1.392 1.392 2.175
Mg 0.000 0.000 4.522
Mo 1.392 1.392 6.688
```



No. 29
VASP calculation (PBE-GGA) on LiMgMo2 after structural relaxation.

Output
Symmetry = Pm, No. 6
Fermi-level density of states = 2.40 states/eV per cell
Total DFT energy (no corrections) = -6.0173 eV/atom
Formation energy = 0.275 eV/atom

Geometry as extended XYZ:
```
4
Lattice="2.655 0.000 0.000 0.000 4.419 0.000 -0.761 0.000 5.618" Properties=species:S:1:pos:R:3 pbc="T T T"
Li 0.000 0.000 0.000
Mg 1.861 2.209 1.335
Mo 0.067 2.209 4.103
Mo 0.819 0.000 2.970
```